Below is a relaxed CaSbSe2 crystal, with properties calculated at the PBE level.

Cell lengths 5.5483, 5.5484, 4.3731 Å; angles 69.13, 69.13, 90.26 degrees
Last column: nearest neighbours and their distance in Å.
Element x y z (fractional)
Sb 0.0000 0.5000 0.5000  4 Se 2.86
Ca 0.5000 0.0000 0.5000  4 Se 2.86
Se 0.0000 0.0000 0.0000  2 Ca 2.86, 2 Sb 2.86
Se 0.5000 0.5000 0.0000  2 Sb 2.86, 2 Ca 2.86

space group	C2/m
ρ	4.6	g/cm3
formation energy (no corrections)	-0.748	eV per atom

=====

Below is a relaxed Ca3SbSe crystal, with properties calculated at the PBE level.

Cell lengths 5.4580, 5.4580, 5.4580 Å; angles 90.00, 90.00, 90.00 degrees
Last column: nearest neighbours and their distance in Å.
Element x y z (fractional)
Sb 0.5000 0.5000 0.5000  12 Ca 3.86
Ca 0.0000 0.5000 0.0000  2 Se 2.73
Ca 0.0000 0.0000 0.5000  2 Se 2.73
Ca 0.5000 0.0000 0.0000  2 Se 2.73
Se 0.0000 0.0000 0.0000  6 Ca 2.73

space group	Pm-3m
energy above the lowest structure with this stoichiometry	0	meV/atom
ρ	3.3	g/cm3
formation energy (no corrections)	-0.956	eV per atom

=====

Below is a relaxed Ca4SbSe crystal, with properties calculated at the PBE level.

Cell lengths 6.4231, 6.4231, 6.4231 Å; angles 60.00, 60.00, 60.00 degrees
Last column: nearest neighbours and their distance in Å.
Element x y z (fractional)
Ca 0.3755 0.8735 0.3755  6 Ca 3.20-3.22
Ca 0.8735 0.3755 0.3755  6 Ca 3.20-3.22
Ca 0.3755 0.3755 0.8735  6 Ca 3.20-3.22
Ca 0.3755 0.3755 0.3755  6 Ca 3.20-3.22
Sb 0.7500 0.7500 0.7500  12 Ca 3.76, 4 Se 3.93
Se 0.0000 0.0000 0.0000  12 Ca 3.77, 4 Sb 3.93

space group	F-43m
ρ	3.2	g/cm3
formation energy (no corrections)	-0.139	eV per atom